1.
The following is a DFT calculation (PBE) of a relaxed CsHgCl4 crystal.

As for the density: 3.84 g/cm³. The formation energy (no corrections) is -853 meV/atom. For the energy above the lowest structure with this stoichiometry, the calculation gives 0.36 kcal/mol of atoms.

The space group is C2/m (No. 12) and the conventional cell measures 19.886, 6.769 and 6.363 Å, with angles of 90.00, 106.25 and 90.00 degrees. Symmetry generates all atoms from Cs at (0.206, 0.000, 0.222), Hg at (0.078, 0.500, 0.863), Cl at (0.000, 0.251, 0.000), Cl at (0.113, 0.215, 0.665) and Cl at (0.195, 0.500, 0.187).

2.
The following is a DFT calculation (PBE) of a relaxed Cs2HgCl4 crystal.

As for the density: 3.67 g/cm³. The formation energy (no corrections) is -1433 meV/atom. For the energy above the lowest structure with this stoichiometry, the calculation gives 0.01 kcal/mol of atoms.

The space group is P2_12_12_1 (No. 19) and the conventional cell measures 7.737, 9.986 and 14.263 Å, with angles of 90.00, 90.00 and 90.00 degrees. Symmetry generates all atoms from Cs at (0.004, 0.133, 0.435), Cs at (0.014, 0.765, 0.684), Hg at (0.007, 0.041, 0.073), Cl at (0.017, 0.932, 0.909), Cl at (0.061, 0.286, 0.071), Cl at (0.241, 0.084, 0.653) and Cl at (0.242, 0.563, 0.854).

What is the formation energy (no corrections) in the first record? -853 meV/atom

Which value of energy above the lowest structure with this stoichiometry does entry 2 give? 0.01 kcal/mol of atoms